<a>
The following is a DFT calculation (PBE) of a relaxed BeAl2B crystal.

a b c (Å): 3.4137 5.4157 10.7189
angles (deg): 85.42 87.99 87.70
Last column: nearest neighbours and their distance in Å.
Space group P-1 (No. 2)
Unique sites:
Be: 0.1323 0.3319 0.0493 x2  3 Be 2.21-2.32, 3 Al 2.36-2.39
Be: 0.2575 0.9141 0.0581 x2  1 B 1.98
Al: 0.2031 0.3838 0.8260 x2  2 B 2.18-2.21, 2 Be 2.36-2.39
Al: 0.2354 0.8926 0.7893 x2  3 B 2.30-2.51, 2 Be 2.38-2.56
Al: 0.2567 0.5197 0.3963 x2  4 B 2.17-2.33
Al: 0.2637 0.0208 0.4069 x2  4 B 2.14-2.28
B: 0.2441 0.7371 0.5753 x2  6 Al 2.14-2.33
B: 0.2820 0.8235 0.2402 x2  1 Be 1.98, 3 Al 2.15-2.21

Calculated values
The calculated density comes out at 2.5 g/cm3. As for the crystal system: triclinic.

<b>
The following is a DFT calculation (PBE) of a relaxed BeAl2B crystal.

a b c (Å): 3.5778 5.8782 9.9168
angles (deg): 73.39 79.78 89.36
Last column: nearest neighbours and their distance in Å.
Space group P1 (No. 1)
Unique sites:
Be: 0.0000 0.0000 0.0000 x1  1 B 1.93, 1 Be 2.15
Be: 0.0323 0.6820 0.9332 x1  5 Be 2.08-2.15
Be: 0.4826 0.7153 0.0355 x1  3 Be 2.08-2.19
Be: 0.5761 0.5981 0.8416 x1  3 Be 2.11-2.19, 1 B 2.17, 2 Al 2.30-2.32
Al: 0.0909 0.3662 0.8142 x1  2 B 2.19, 3 Be 2.30-2.38
Al: 0.2225 0.3602 0.5402 x1  4 B 2.19-2.33
Al: 0.3358 0.8763 0.3251 x1  4 B 2.12-2.32
Al: 0.4450 0.2778 0.0987 x1  2 B 2.23, 1 Be 2.47
Al: 0.5946 0.0200 0.8119 x1  1 B 2.29, 4 Be 2.39-2.55
Al: 0.6865 0.8082 0.5914 x1  3 B 2.17-2.25, 1 Be 2.40
Al: 0.8126 0.2172 0.3591 x1  3 B 2.17-2.39
Al: 0.9041 0.6731 0.1995 x1  3 B 2.10-2.21, 1 Be 2.31
B: 0.2255 0.0088 0.5057 x1  5 Al 2.12-2.35
B: 0.3624 0.5137 0.2920 x1  4 Al 2.10-2.33
B: 0.6555 0.4103 0.6796 x1  1 Be 2.17, 6 Al 2.19-2.32
B: 0.9055 0.0560 0.1851 x1  1 Be 1.93

Calculated values
The calculated density comes out at 2.5 g/cm3. As for the crystal system: triclinic.

<c>
The following is a DFT calculation (PBE) of a relaxed BeAl2B crystal.

a b c (Å): 5.4155 5.7705 7.3028
angles (deg): 104.89 100.43 113.44
Last column: nearest neighbours and their distance in Å.
Space group P-1 (No. 2)
Unique sites:
Be: 0.0905 0.3662 0.0243 x2  1 B 2.02, 3 Be 2.15-2.22
Be: 0.1981 0.0784 0.1080 x2  1 B 1.94, 2 Be 2.10-2.15
Al: 0.1299 0.1700 0.7024 x2  3 B 2.16-2.32, 1 Be 2.42
Al: 0.2305 0.4554 0.4638 x2  4 B 2.18-2.33
Al: 0.3063 0.7567 0.8483 x2  2 B 2.25-2.31, 2 Be 2.39-2.42
Al: 0.3712 0.8313 0.2969 x2  3 B 2.21-2.28
B: 0.1923 0.8306 0.5559 x2  7 Al 2.16-2.32
B: 0.4487 0.4663 0.2390 x2  2 Be 1.94-2.02

Calculated values
The calculated density comes out at 2.6 g/cm3. As for the crystal system: triclinic.

<d>
The following is a DFT calculation (PBE) of a relaxed BeAl2B crystal.

a b c (Å): 3.5625 3.5628 19.1265
angles (deg): 85.30 85.33 60.09
Last column: nearest neighbours and their distance in Å.
Space group P1 (No. 1)
Unique sites:
Be: 0.0000 0.0000 0.0000 x1  1 Be 1.94
Be: 0.0321 0.0328 0.8983 x1  1 Be 1.94
Be: 0.3463 0.3467 0.9579 x1  6 Be 2.06-2.21
Be: 0.6812 0.6816 0.9559 x1  6 Be 2.06-2.23
Al: 0.0839 0.0775 0.7762 x1  1 Be 2.33, 3 B 2.35-2.36
Al: 0.1639 0.1594 0.5019 x1  3 B 2.31
Al: 0.2073 0.2036 0.3650 x1  3 B 2.31
Al: 0.2951 0.2935 0.0876 x1  3 B 2.36-2.40, 2 Be 2.47-2.58
Al: 0.4445 0.4388 0.6829 x1  4 B 2.15-2.39
Al: 0.5682 0.5651 0.2724 x1  4 B 2.17-2.31
Al: 0.8037 0.7986 0.5943 x1  4 B 2.17-2.31
Al: 0.9299 0.9275 0.1824 x1  3 B 2.14
B: 0.4808 0.4760 0.5574 x1  7 Al 2.17-2.39
B: 0.6053 0.6031 0.1512 x1  5 Al 2.14-2.36
B: 0.7685 0.7628 0.7155 x1  7 Al 2.15-2.36
B: 0.8902 0.8869 0.3099 x1  7 Al 2.17-2.43

Calculated values
The calculated density comes out at 2.3 g/cm3. As for the crystal system: triclinic.

<c> is favored, and the nearest alternative lies 34 meV/atom above it.

<a>
The following is a DFT calculation (PBE) of a relaxed BeAl2B crystal.

a b c (Å): 5.6853 5.7962 7.2077
angles (deg): 95.91 96.06 119.27
Last column: nearest neighbours and their distance in Å.
Space group P1 (No. 1)
Unique sites:
Be: 0.0000 0.0000 0.0000 x1  2 Be 2.07-2.08
Be: 0.1967 0.8085 0.8888 x1  1 B 1.96, 2 Be 2.08-2.17
Be: 0.5184 0.7692 0.0453 x1  2 B 1.89-1.93
Be: 0.7175 0.6064 0.8726 x1  1 B 2.00, 2 Be 2.07-2.20
Al: 0.0918 0.3637 0.2340 x1  2 B 2.15-2.16, 1 Be 2.36
Al: 0.2118 0.7673 0.5297 x1  4 B 2.21-2.31
Al: 0.2332 0.2397 0.7730 x1  2 B 2.23-2.33, 2 Be 2.34-2.48
Al: 0.4158 0.0912 0.2349 x1  3 B 2.18-2.29
Al: 0.5368 0.5139 0.5180 x1  4 B 2.16-2.33
Al: 0.7245 0.1820 0.8631 x1  1 B 2.41, 3 Be 2.46-2.66, 1 Al 2.68
Al: 0.7984 0.1140 0.5049 x1  3 B 2.11-2.24
Al: 0.8422 0.7500 0.2541 x1  3 B 2.08-2.24, 1 Be 2.31
B: 0.1684 0.1110 0.4607 x1  6 Al 2.17-2.29
B: 0.4368 0.7007 0.7777 x1  3 Be 1.89-2.00
B: 0.4671 0.7489 0.3054 x1  1 Be 1.93, 1 Al 2.16
B: 0.8122 0.4305 0.3774 x1  6 Al 2.08-2.21

Calculated values
The calculated density comes out at 2.4 g/cm3. As for the crystal system: triclinic.

<b>
The following is a DFT calculation (PBE) of a relaxed BeAl2B crystal.

a b c (Å): 5.3554 6.1562 6.8368
angles (deg): 99.28 95.01 111.83
Last column: nearest neighbours and their distance in Å.
Space group P-1 (No. 2)
Unique sites:
Be: 0.0427 0.1894 0.0387 x2  1 B 1.93, 1 Be 2.07
Be: 0.3816 0.1147 0.9906 x2  1 B 2.04, 2 Be 2.07-2.23
Al: 0.0277 0.9944 0.6927 x2  3 B 2.19-2.42, 1 Be 2.30
Al: 0.2300 0.6083 0.1476 x2  2 B 2.25-2.27, 2 Be 2.35-2.52
Al: 0.2469 0.4747 0.5343 x2  4 B 2.21-2.33
Al: 0.4955 0.0548 0.3159 x2  3 B 2.17-2.29, 1 Be 2.38
B: 0.1559 0.7891 0.4410 x2  7 Al 2.19-2.33
B: 0.3615 0.3288 0.2442 x2  2 Be 1.93-2.04

Calculated values
The calculated density comes out at 2.4 g/cm3. As for the crystal system: triclinic.

<c>
The following is a DFT calculation (PBE) of a relaxed BeAl2B crystal.

a b c (Å): 3.4510 5.7332 10.5495
angles (deg): 90.76 90.83 93.75
Last column: nearest neighbours and their distance in Å.
Space group P1 (No. 1)
Unique sites:
Be: 0.0000 0.0000 0.0000 x1  1 Be 2.13, 1 Al 2.38
Be: 0.0179 0.1945 0.1732 x1  2 Be 2.13-2.15, 2 Al 2.33-2.36
Be: 0.4878 0.4518 0.2123 x1  1 B 1.85
Be: 0.5109 0.1841 0.8763 x1  1 B 1.92
Al: 0.0099 0.7669 0.2031 x1  2 B 2.17
Al: 0.0796 0.4378 0.9982 x1  2 B 2.15-2.21, 1 Be 2.33
Al: 0.1570 0.4479 0.4463 x1  4 B 2.24-2.40
Al: 0.1587 0.7591 0.8257 x1  3 B 2.18-2.40, 1 Be 2.38
Al: 0.1639 0.0974 0.6355 x1  3 B 2.20-2.24
Al: 0.5367 0.0898 0.3220 x1  2 B 2.20-2.22, 2 Be 2.36-2.40
Al: 0.6365 0.4820 0.6776 x1  4 B 2.15-2.31
Al: 0.6472 0.8237 0.5120 x1  4 B 2.14-2.24
B: 0.1412 0.7132 0.6198 x1  7 Al 2.16-2.37
B: 0.5077 0.7052 0.3229 x1  1 Be 1.85
B: 0.5929 0.5183 0.8802 x1  1 Be 1.92
B: 0.6654 0.2148 0.5195 x1  7 Al 2.21-2.40

Calculated values
The calculated density comes out at 2.4 g/cm3. As for the crystal system: triclinic.

<b> is favored, and the nearest alternative lies 21 meV/atom above it.

<a>
The following is a DFT calculation (PBE) of a relaxed BeAl2B crystal.

a b c (Å): 6.1587 3.5571 18.5596
angles (deg): 90.00 90.18 90.00
Last column: nearest neighbours and their distance in Å.
Space group Cm (No. 8)
Unique sites:
Be: 0.0000 0.0000 0.0000 x2  1 Be 1.94
Be: 0.9995 0.0000 0.1048 x2  1 Be 1.94
Be: 0.1665 0.5000 0.0429 x2  6 Be 2.06-2.21
Be: 0.3330 0.0000 0.0490 x2  8 Be 2.06-2.30
Al: 0.9996 0.0000 0.5159 x2  3 B 2.32-2.33
Al: 0.0024 0.0000 0.8147 x2  3 B 2.12
Al: 0.1657 0.5000 0.4190 x2  4 B 2.17-2.34
Al: 0.1682 0.5000 0.6241 x2  3 B 2.27
Al: 0.1687 0.5000 0.9112 x2  3 B 2.40-2.41, 4 Be 2.45-2.64
Al: 0.3311 0.0000 0.3263 x2  3 B 2.14-2.15
Al: 0.3354 0.0000 0.7205 x2  4 B 2.21-2.28
Al: 0.4972 0.5000 0.2299 x2  1 Be 2.32, 3 B 2.36
B: 0.0021 0.0000 0.6761 x2  6 Al 2.21-2.27
B: 0.1643 0.5000 0.2929 x2  7 Al 2.14-2.36
B: 0.3328 0.0000 0.4572 x2  7 Al 2.17-2.43
B: 0.3359 0.0000 0.8432 x2  4 Al 2.12-2.28

Calculated values
The calculated density comes out at 2.4 g/cm3. As for the crystal system: monoclinic.

<b>
The following is a DFT calculation (PBE) of a relaxed BeAl2B crystal.

a b c (Å): 5.2179 3.4352 11.0653
angles (deg): 90.00 97.23 90.00
Last column: nearest neighbours and their distance in Å.
Space group P2_1/m (No. 11)
Unique sites:
Be: 0.0208 0.2500 0.4357 x2  1 B 2.01
Be: 0.3442 0.7500 0.4739 x2  5 Be 2.26-2.41, 2 Al 2.35
Al: 0.0267 0.2500 0.0895 x2  4 B 2.16-2.23
Al: 0.1452 0.7500 0.2716 x2  3 B 2.27-2.37, 1 Be 2.35
Al: 0.3269 0.2500 0.6535 x2  2 B 2.24, 1 Be 2.35
Al: 0.4663 0.7500 0.8932 x2  4 B 2.20-2.35
B: 0.1420 0.7500 0.7393 x2  1 Be 2.01, 4 Al 2.19-2.25
B: 0.2720 0.7500 0.0735 x2  7 Al 2.16-2.37

Calculated values
The calculated density comes out at 2.5 g/cm3. As for the crystal system: monoclinic.

<c>
The following is a DFT calculation (PBE) of a relaxed BeAl2B crystal.

a b c (Å): 7.8220 7.8220 3.5646
angles (deg): 90.00 90.00 90.00
Last column: nearest neighbours and their distance in Å.
Space group I-42d (No. 122)
Unique sites:
Be: 0.0000 0.0000 0.0000 x4  2 B 1.78
Al: 0.1193 0.2500 0.6250 x8  2 B 2.21
B: 0.0000 0.0000 0.5000 x4  2 Be 1.78

Calculated values
The calculated density comes out at 2.2 g/cm3. As for the crystal system: tetragonal.

<b> is favored, and the nearest alternative lies 37 meV/atom above it.